(1)
Computed, not measured: a relaxed Mn2MoPt9 crystal at the PBE level of DFT.

Values from the calculation:
calculated total energy	-7.293	eV/atom
crystal system	tetragonal

Unit cell a=3.9451 b=3.9451 c=11.8509 alpha=90.00 beta=90.00 gamma=90.00
Space group P4/mmm (No. 123)
One atom of each set of equivalent atoms:
Mn 0.0000 0.0000 0.1623 [2 per cell]
Mo 0.0000 0.0000 0.5000 [1 per cell]
Pt 0.0000 0.5000 0.0000 [2 per cell]
Pt 0.0000 0.5000 0.3353 [4 per cell]
Pt 0.5000 0.5000 0.1671 [2 per cell]
Pt 0.5000 0.5000 0.5000 [1 per cell]

***

(2)
Computed, not measured: a relaxed NaLaHg6 crystal at the PBE level of DFT.

Values from the calculation:
distance to the lowest polymorph of the same formula	0	meV per atom
crystal system	orthorhombic

Unit cell a=5.2813 b=7.0700 c=5.4710 alpha=90.00 beta=90.00 gamma=90.00
Space group Pmm2 (No. 25)
One atom of each set of equivalent atoms:
Na 0.0000 0.0000 0.0000 [1 per cell]
La 0.5000 0.5000 0.6511 [1 per cell]
Hg 0.0000 0.2364 0.5099 [2 per cell]
Hg 0.0000 0.5000 0.0280 [1 per cell]
Hg 0.5000 0.0000 0.6446 [1 per cell]
Hg 0.5000 0.2380 0.1459 [2 per cell]

***

(3)
Computed, not measured: a relaxed K2MgH12S2O14 crystal at the PBE level of DFT.

Values from the calculation:
calculated total energy	-5.358	eV/atom
crystal system	monoclinic

Unit cell a=6.2252 b=12.3567 c=9.1171 alpha=90.00 beta=103.91 gamma=90.00
Space group P2_1/c (No. 14)
One atom of each set of equivalent atoms:
K 0.1631 0.1570 0.3663 [4 per cell]
Mg 0.5000 0.0000 0.0000 [2 per cell]
H 0.1655 0.5633 0.6132 [4 per cell]
H 0.1678 0.6439 0.4770 [4 per cell]
H 0.1752 0.0867 0.7773 [4 per cell]
H 0.4084 0.1238 0.7494 [4 per cell]
H 0.4195 0.6042 0.2299 [4 per cell]
H 0.4933 0.6924 0.3574 [4 per cell]
S 0.2225 0.6389 0.9110 [4 per cell]
O 0.0760 0.7361 0.9005 [4 per cell]
O 0.1150 0.5610 0.7892 [4 per cell]
O 0.2105 0.5699 0.5163 [4 per cell]
O 0.2435 0.5855 0.0599 [4 per cell]
O 0.3291 0.1075 0.8289 [4 per cell]
O 0.4459 0.6715 0.8909 [4 per cell]
O 0.4765 0.1168 0.1695 [4 per cell]

***

(4)
Computed, not measured: a relaxed Ni2CS crystal at the PBE level of DFT.

Values from the calculation:
distance to the lowest polymorph of the same formula	12	meV per atom
crystal system	monoclinic

Unit cell a=11.9418 b=3.0846 c=5.6805 alpha=90.00 beta=115.79 gamma=90.00
Space group Cm (No. 8)
One atom of each set of equivalent atoms:
Ni 0.0000 0.0000 0.0000 [2 per cell]
Ni 0.0071 0.5000 0.6658 [2 per cell]
Ni 0.2087 0.0000 0.3736 [2 per cell]
Ni 0.3578 0.0000 0.1834 [2 per cell]
C 0.1195 0.5000 0.0358 [2 per cell]
C 0.2458 0.5000 0.1683 [2 per cell]
S 0.0332 0.0000 0.4271 [2 per cell]
S 0.3478 0.0000 0.7800 [2 per cell]